# Sm6Dy3Y2Pu PBE relaxed
# E_tot ... -5.7351 eV per atom
# Formation energy ... 0.56 eV/f.u.
data_Sm6Dy3Y2Pu
_cell_length_a 6.212
_cell_length_b 10.763
_cell_length_c 11.800
_cell_angle_alpha 90.00
_cell_angle_beta 100.13
_cell_angle_gamma 90.00
_symmetry_space_group_name_H-M 'C 1 2/m 1'
_symmetry_Int_Tables_number 12
loop_
_symmetry_equiv_pos_as_xyz
'x,y,z'
'-x,-y,-z'
'-x,y,-z'
'x,-y,z'
'x+1/2,y+1/2,z'
'-x+1/2,-y+1/2,-z'
'-x+1/2,y+1/2,-z'
'x+1/2,-y+1/2,z'
loop_
_atom_site_label
_atom_site_type_symbol
_atom_site_fract_x
_atom_site_fract_y
_atom_site_fract_z
Sm1 Sm 0.247 0.000 0.251
Sm2 Sm 0.247 0.165 0.749
Dy1 Dy 0.000 0.167 0.000
Dy2 Dy 0.000 0.500 0.000
Y1 Y 0.000 0.333 0.500
Pu1 Pu 0.000 0.000 0.500